Record 1
Here is NaYCl2 after structural relaxation from Alexandria via LeMat-Bulk. Energies are from PBE-GGA.

Cell lengths 8.770, 8.770, 8.770 Å; angles 25.82, 25.82, 25.82 degrees
Fractional coordinates of all 4 atoms:
Na  0.000  0.000  0.000
Y  0.500  0.500  0.500
Cl  0.397  0.397  0.397
Cl  0.603  0.603  0.603

## Properties
- uncorrected energy (eV per atom) = -4.356
- formation energy from raw total energies (eV/f.u.) = -5.949
- E above lowest polymorph (eV/atom) = 0.000
- space-group type = R-3m
- crystal system = trigonal

***

Record 2
Here is Na2YCl6 after structural relaxation from Alexandria via LeMat-Bulk. Energies are from PBE-GGA.

Cell lengths 6.145, 6.145, 12.482 Å; angles 115.32, 115.32, 39.48 degrees
Fractional coordinates of all 9 atoms:
Na  0.135  0.135  0.336
Na  0.865  0.865  0.664
Y  0.500  0.500  0.000
Cl  0.099  0.099  0.929
Cl  0.311  0.311  0.781
Cl  0.404  0.404  0.530
Cl  0.596  0.596  0.470
Cl  0.689  0.689  0.219
Cl  0.901  0.901  0.071

## Properties
- uncorrected energy (eV per atom) = -3.957
- formation energy from raw total energies (eV/f.u.) = -15.432
- space-group type = C2/m
- crystal system = monoclinic

***

Record 3
Here is NaYCl3 after structural relaxation from Alexandria via LeMat-Bulk. Energies are from PBE-GGA.

Cell lengths 4.982, 4.982, 4.982 Å; angles 90.00, 90.00, 90.00 degrees
Fractional coordinates of all 5 atoms:
Na  0.000  0.000  0.000
Y  0.500  0.500  0.500
Cl  0.000  0.000  0.500
Cl  0.000  0.500  0.000
Cl  0.500  0.000  0.000

## Properties
- uncorrected energy (eV per atom) = -3.866
- formation energy from raw total energies (eV/f.u.) = -6.005
- space-group type = Pm-3m
- crystal system = cubic

***

Please write out number 1 again, unchanged.
Here is NaYCl2 after structural relaxation from Alexandria via LeMat-Bulk. Energies are from PBE-GGA.

Cell lengths 8.770, 8.770, 8.770 Å; angles 25.82, 25.82, 25.82 degrees
Fractional coordinates of all 4 atoms:
Na  0.000  0.000  0.000
Y  0.500  0.500  0.500
Cl  0.397  0.397  0.397
Cl  0.603  0.603  0.603

## Properties
- uncorrected energy (eV per atom) = -4.356
- formation energy from raw total energies (eV/f.u.) = -5.949
- E above lowest polymorph (eV/atom) = 0.000
- space-group type = R-3m
- crystal system = trigonal

***

Q: The lowest uncorrected energy belongs to which entry?
A: NaYCl2

***

Q: Which formula does entry 1 have?
A: NaYCl2